A plane-wave DFT calculation with PBE was carried out for PaPb2S4 after structural relaxation.

POSCAR file:
```
PaPb2S4
1.0
-0.744 3.918 1.039
-2.939 -2.249 6.378
11.498 0.713 5.550
Pb S Pa
4 8 2
Direct
0.500 0.884 0.830
0.500 0.116 0.170
0.500 0.384 0.670
0.500 0.616 0.330
0.500 0.263 0.961
0.000 0.879 0.299
0.000 0.621 0.799
0.000 0.121 0.701
0.500 0.763 0.539
0.500 0.237 0.461
0.000 0.379 0.201
0.500 0.737 0.039
0.000 0.000 0.500
0.000 0.500 0.000
```

ρ   6.61 Mg/m³
Total energy   -5.75 eV per atom
Fermi-level density of states   0.719 states/eV per atom

***

A plane-wave DFT calculation with PBE was carried out for TaZnSnW2 after structural relaxation.

POSCAR file:
```
TaZnSnW2
1.0
4.960 0.000 0.000
0.000 4.464 0.000
0.000 0.000 4.960
W Sn Zn Ta
2 1 1 1
Direct
0.000 0.000 0.500
0.500 0.000 0.000
0.000 0.000 0.000
0.000 0.500 0.000
0.500 0.500 0.500
```

ρ   11.08 Mg/m³
ΔH_f (0 K)   2.2602 eV/atom
Fermi-level density of states   0.854 states/eV per atom

***

A plane-wave DFT calculation with PBE was carried out for CdAs2P after structural relaxation.

POSCAR file:
```
CdAs2P
1.0
0.000 3.384 3.384
3.384 0.000 3.384
3.384 3.384 0.000
As P Cd
2 1 1
Direct
0.750 0.750 0.750
0.250 0.250 0.250
0.000 0.000 0.000
0.500 0.500 0.500
```

ρ   6.28 Mg/m³
ΔH_f (0 K)   0.5073 eV/atom
Fermi-level density of states   0.591 states/eV per atom

***

A plane-wave DFT calculation with PBE was carried out for MgRuW2C after structural relaxation.

POSCAR file:
```
MgRuW2C
1.0
4.609 0.000 0.000
0.000 4.288 0.000
0.000 0.000 4.609
W Ru Mg C
2 1 1 1
Direct
0.000 0.000 0.500
0.500 0.000 0.000
0.000 0.500 0.000
0.000 0.000 0.000
0.500 0.500 0.500
```

ρ   9.21 Mg/m³
ΔH_f (0 K)   3.6201 eV/atom
Fermi-level density of states   1.455 states/eV per atom

***

A plane-wave DFT calculation with PBE was carried out for FeW2Br after structural relaxation.

POSCAR file:
```
FeW2Br
1.0
-1.889 -0.169 -4.886
-3.497 -3.710 -1.211
0.704 3.582 3.760
Fe Br W
1 1 2
Direct
0.750 0.250 0.500
0.250 0.750 0.500
0.500 0.500 0.000
0.000 0.000 0.000
```

ρ   12.96 Mg/m³
Total energy   -7.76 eV per atom
Fermi-level density of states   1.232 states/eV per atom

***

A plane-wave DFT calculation with PBE was carried out for Sc2AlFe after structural relaxation.

POSCAR file:
```
Sc2AlFe
1.0
3.065 0.000 0.000
0.000 3.065 0.000
0.000 0.000 7.607
Al Fe Sc
1 1 2
Direct
0.000 0.000 0.558
0.500 0.500 0.725
0.000 0.000 0.930
0.500 0.500 0.286
```

ρ   4.01 Mg/m³
ΔH_f (0 K)   -0.1866 eV/atom
Fermi-level density of states   1.251 states/eV per atom

***

A plane-wave DFT calculation with PBE was carried out for LaIr after structural relaxation.

POSCAR file:
```
LaIr
1.0
-4.848 -0.079 -6.991
6.410 -3.447 -4.406
-2.792 -7.778 2.024
Ir La
8 8
Direct
0.377 0.623 0.623
0.877 0.877 0.877
0.123 0.123 0.877
0.623 0.623 0.377
0.123 0.877 0.123
0.877 0.123 0.123
0.623 0.377 0.623
0.377 0.377 0.377
0.308 0.308 0.692
0.192 0.192 0.192
0.692 0.308 0.308
0.808 0.192 0.808
0.192 0.808 0.808
0.692 0.692 0.692
0.808 0.808 0.192
0.308 0.692 0.308
```

ρ   7.14 Mg/m³
ΔH_f (0 K)   -0.0874 eV/atom
Fermi-level density of states   0.192 states/eV per atom

***

A plane-wave DFT calculation with PBE was carried out for CuHRh after structural relaxation.

POSCAR file:
```
CuHRh
1.0
-2.428 0.899 0.751
0.350 -1.092 2.440
2.869 3.855 -0.176
H Cu Rh
1 1 1
Direct
0.259 0.259 0.519
0.013 0.013 0.026
0.728 0.728 0.455
```

ρ   8.67 Mg/m³
Total energy   -4.74 eV per atom
Fermi-level density of states   1.186 states/eV per atom

***

A plane-wave DFT calculation with PBE was carried out for Tb2Tm7 after structural relaxation.

POSCAR file:
```
Tb2Tm7
1.0
6.059 0.000 0.000
-3.029 5.247 0.000
0.000 0.000 8.573
Tm Tb
7 2
Direct
0.667 0.667 0.665
0.000 0.333 0.665
0.333 0.333 0.335
0.000 0.000 0.000
0.667 0.000 0.335
0.000 0.667 0.335
0.333 0.000 0.665
0.333 0.667 0.000
0.667 0.333 0.000
```

ρ   9.14 Mg/m³
ΔH_f (0 K)   0.0278 eV/atom
Fermi-level density of states   1.506 states/eV per atom

***

A plane-wave DFT calculation with PBE was carried out for RbBaP2O after structural relaxation.

POSCAR file:
```
RbBaP2O
1.0
5.596 0.000 0.000
0.000 5.596 0.000
0.000 0.000 4.874
P Rb O Ba
2 1 1 1
Direct
0.000 0.500 0.000
0.500 0.000 0.000
0.000 0.000 0.000
0.000 0.000 0.500
0.500 0.500 0.500
```

ρ   3.27 Mg/m³
Total energy   -3.18 eV per atom
Fermi-level density of states   0.858 states/eV per atom

***

A plane-wave DFT calculation with PBE was carried out for CaPr2TmAs4 after structural relaxation.

POSCAR file:
```
CaPr2TmAs4
1.0
4.244 0.000 0.000
0.000 7.273 -0.112
0.000 2.590 6.914
Pr Tm As Ca
2 1 4 1
Direct
0.000 0.000 0.000
0.500 0.000 0.500
0.000 0.500 0.500
0.500 0.739 0.260
0.500 0.261 0.740
0.000 0.744 0.745
0.000 0.256 0.255
0.500 0.500 0.000
```

ρ   6.12 Mg/m³
ΔH_f (0 K)   -1.3276 eV/atom
Fermi-level density of states   0.588 states/eV per atom

***

A plane-wave DFT calculation with PBE was carried out for LiCd5Ag3 after structural relaxation.

POSCAR file:
```
LiCd5Ag3
1.0
-1.093 4.212 -3.813
-5.392 -5.076 -4.061
-2.761 4.950 6.261
Ag Cd Li
6 10 2
Direct
0.750 0.000 0.646
0.250 0.646 0.646
0.250 0.354 0.000
0.250 0.000 0.354
0.750 0.646 0.000
0.750 0.354 0.354
0.750 0.000 0.306
0.750 0.694 0.694
0.250 0.306 0.306
0.750 0.306 0.000
0.250 0.694 0.000
0.000 0.333 0.667
0.000 0.667 0.333
0.500 0.333 0.667
0.500 0.667 0.333
0.250 0.000 0.694
0.500 0.000 0.000
0.000 0.000 0.000
```

ρ   8.29 Mg/m³
ΔH_f (0 K)   -0.0694 eV/atom
Fermi-level density of states   0.259 states/eV per atom